No. 1
Density functional theory data (GGA-PBE) for a relaxed structure of Dy2Ni15Ge2.

Unit cell a=6.313 b=6.313 c=6.313 alpha=82.68 beta=82.68 gamma=82.68
Positions (direct):
Dy (0.150, 0.150, 0.150)
Dy (0.850, 0.850, 0.850)
Ni (0.000, 0.500, 0.500)
Ni (0.156, 0.156, 0.655)
Ni (0.156, 0.655, 0.156)
Ni (0.198, 0.500, 0.802)
Ni (0.198, 0.802, 0.500)
Ni (0.345, 0.844, 0.844)
Ni (0.500, 0.000, 0.500)
Ni (0.500, 0.198, 0.802)
Ni (0.500, 0.500, 0.000)
Ni (0.500, 0.802, 0.198)
Ni (0.655, 0.156, 0.156)
Ni (0.802, 0.198, 0.500)
Ni (0.802, 0.500, 0.198)
Ni (0.844, 0.345, 0.844)
Ni (0.844, 0.844, 0.345)
Ge (0.395, 0.395, 0.395)
Ge (0.605, 0.605, 0.605)

Summary:
Energy in eV/f.u.: -109.66
Space-group type: R-3m, No. 166
Calculated volume in Å³/cell: 245.9
DOS at the Fermi energy in states/eV per cell: 24.66

=====

No. 2
Density functional theory data (GGA-PBE) for a relaxed structure of OsWBr.

Unit cell a=4.353 b=4.353 c=2.962 alpha=90.00 beta=90.00 gamma=120.00
Positions (direct):
Os (0.000, 0.000, 0.000)
W (0.333, 0.667, 0.492)
Br (0.667, 0.333, 0.632)

Summary:
Space-group type: P3m1, No. 156
Excess energy over the best structure of this formula in the dataset in eV per atom: 0.451
Calculated volume in Å³/cell: 48.6
Raw formation energy in meV per atom: 1122
DOS at the Fermi energy in states/eV per cell: 1.80

=====

No. 3
Density functional theory data (GGA-PBE) for a relaxed structure of Li2TaTc.

Unit cell a=4.690 b=4.690 c=5.481 alpha=92.45 beta=92.45 gamma=31.82
Positions (direct):
Li (0.000, 0.000, 0.000)
Li (0.748, 0.748, 0.230)
Ta (0.497, 0.497, 0.517)
Tc (0.254, 0.254, 0.733)

Summary:
Space-group type: Cm, No. 8
Excess energy over the best structure of this formula in the dataset in eV per atom: 0.175
Calculated volume in Å³/cell: 63.5
DOS at the Fermi energy in states/eV per cell: 2.36

=====

No. 4
Density functional theory data (GGA-PBE) for a relaxed structure of LaCdIn.

Unit cell a=5.051 b=5.051 c=3.803 alpha=90.00 beta=90.00 gamma=120.00
Positions (direct):
La (0.000, 0.000, 0.000)
Cd (0.333, 0.667, 0.500)
In (0.667, 0.333, 0.500)

Summary:
Energy in eV/f.u.: -9.95
Space-group type: P-6m2, No. 187
Calculated volume in Å³/cell: 84.0
DOS at the Fermi energy in states/eV per cell: 3.31

=====

No. 5
Density functional theory data (GGA-PBE) for a relaxed structure of Ba2GaPd.

Unit cell a=4.582 b=4.582 c=8.936 alpha=104.54 beta=104.54 gamma=59.92
Positions (direct):
Ba (0.000, 0.000, 0.000)
Ba (0.164, 0.164, 0.503)
Ga (0.749, 0.749, 0.251)
Pd (0.416, 0.416, 0.251)

Summary:
Energy in eV/f.u.: -14.15
Space-group type: Cm, No. 8
Calculated volume in Å³/cell: 155.4
DOS at the Fermi energy in states/eV per cell: 3.70

=====

No. 6
Density functional theory data (GGA-PBE) for a relaxed structure of Ce5Sb2C2.

Unit cell a=11.239 b=11.239 c=11.239 alpha=51.66 beta=143.71 gamma=144.51
Positions (direct):
Ce (0.246, 0.113, 0.632)
Ce (0.250, 0.004, 0.253)
Ce (0.250, 0.496, 0.746)
Ce (0.481, 0.613, 0.368)
Ce (0.744, 0.124, 0.350)
Ce (0.744, 0.894, 0.120)
Ce (0.750, 0.504, 0.254)
Ce (0.750, 0.996, 0.747)
Ce (0.774, 0.394, 0.650)
Ce (0.774, 0.624, 0.880)
Sb (0.234, 0.357, 0.095)
Sb (0.234, 0.639, 0.377)
Sb (0.262, 0.139, 0.905)
Sb (0.262, 0.857, 0.623)
C (0.625, 0.460, 0.665)
C (0.747, 0.247, 0.500)
C (0.747, 0.747, 0.000)
C (0.795, 0.960, 0.335)

Summary:
Space-group type: Ima2, No. 46
Calculated volume in Å³/cell: 485.1
Raw formation energy in meV per atom: -460
DOS at the Fermi energy in states/eV per cell: 46.45